Record 1
Below is a relaxed structure of NaSrLi2Hg, with properties calculated at the GGA-PBE level.

**Final energy**: -7.2 eV/f.u.
**Crystal system**: tetragonal

POSCAR file:
```
NaSrLi2Hg
1.0
5.377 0.000 0.000
0.000 5.377 0.000
0.000 0.000 6.144
Hg Sr Li Na
1 1 2 1
direct
0.000 0.000 0.000
0.000 0.000 0.500
0.500 0.000 0.000
0.000 0.500 0.000
0.500 0.500 0.500
```

=====

Record 2
Below is a relaxed structure of NaSrLi2Hg2, with properties calculated at the GGA-PBE level.

**Final energy**: -9.2 eV/f.u.
**Crystal system**: trigonal

POSCAR file:
```
NaSrLi2Hg2
1.0
-4.168 1.228 -2.404
0.512 -4.553 1.917
-2.934 2.308 6.266
Li Hg Na Sr
2 2 1 1
direct
0.667 0.333 0.327
0.333 0.667 0.673
0.667 0.333 0.728
0.333 0.667 0.272
0.000 0.000 0.500
0.000 0.000 0.000
```

=====

Record 3
Below is a relaxed structure of Na2SrLiHg, with properties calculated at the GGA-PBE level.

**Final energy**: -6.7 eV/f.u.
**Crystal system**: tetragonal

POSCAR file:
```
Na2SrLiHg
1.0
-3.663 3.821 -1.305
-2.150 -3.338 -3.736
-3.320 -1.938 3.643
Na Sr Hg Li
2 1 1 1
direct
0.500 0.000 0.000
0.000 0.500 0.000
0.500 0.500 0.500
0.000 0.000 0.500
0.000 0.000 0.000
```

=====

Record 4
Below is a relaxed structure of NaLiHgTe, with properties calculated at the GGA-PBE level.

**Energy relative to the elements, uncorrected**: -0.63 eV/atom
**Crystal system**: cubic

POSCAR file:
```
NaLiHgTe
1.0
-2.347 0.476 4.651
2.040 -2.339 4.211
2.219 2.871 3.768
Hg Te Na Li
1 1 1 1
direct
0.500 0.500 0.500
0.000 0.000 0.000
0.250 0.250 0.250
0.750 0.750 0.750
```

=====

Sequential D(E_F) output: 0.695 0.491 0.584 0.007 states/eV per atom